# 1
19
Lattice="-0.625 -7.770 5.026 8.579 0.776 -3.438 -1.847 7.322 5.385" Properties=species:S:1:pos:R:3 comment="Ac12Ni6Sb PBE-GGA optimized geometry" raw_formation_energy_ev_per_atom=-0.29 pbc="T T T"
Ac -0.586 3.662 5.527
Ac 3.711 -0.711 0.851
Ac 2.395 1.040 6.122
Ac 6.693 -3.333 1.446
Ac 6.358 1.910 -0.473
Ac 0.676 -1.413 3.543
Ac 5.431 1.742 3.430
Ac -0.251 -1.581 7.446
Ac 1.929 -5.157 3.739
Ac 1.654 2.449 2.504
Ac 4.453 -2.121 4.468
Ac 4.178 5.486 3.234
Ni 2.421 3.878 4.954
Ni 3.686 -3.549 2.019
Ni 6.551 -0.401 1.538
Ni -0.444 0.729 5.434
Ni 1.805 -2.898 5.812
Ni 4.302 3.226 1.160
Sb 0.000 0.000 0.000

---

# 2
6
Lattice="4.481 0.000 0.000 -2.239 3.881 0.000 0.000 0.000 8.926" Properties=species:S:1:pos:R:3 comment="AcNiSb PBE-GGA optimized geometry" e_above_lowest_polymorph_mev_per_atom=0.0 raw_formation_energy_ev_per_atom=-0.81 pbc="T T T"
Ac -1.119 1.941 4.463
Ac -1.119 1.941 0.000
Ni 1.119 0.647 6.695
Ni 1.122 3.233 2.232
Sb 1.121 3.234 6.695
Sb 1.121 0.646 2.232

---

# 3
4
Lattice="-2.464 -0.630 -3.045 -1.564 -3.106 1.908 -5.162 4.582 3.228" Properties=species:S:1:pos:R:3 comment="Ac2NiSb PBE-GGA optimized geometry" e_above_lowest_polymorph_mev_per_atom=79.0 raw_formation_energy_ev_per_atom=-0.47 pbc="T T T"
Sb -4.595 0.423 1.046
Ac -3.948 3.504 2.469
Ac -1.214 1.078 0.759
Ni -2.014 -1.868 -0.568

---

# 4
3
Lattice="-1.214 1.356 -3.068 -2.503 -2.537 -0.131 -1.772 4.021 4.551" Properties=species:S:1:pos:R:3 comment="AcNiSb PBE-GGA optimized geometry" e_above_lowest_polymorph_mev_per_atom=546.3 raw_formation_energy_ev_per_atom=-0.27 pbc="T T T"
Sb -2.134 2.016 1.735
Ac -0.077 0.072 0.062
Ni -3.279 0.751 -0.444

---

# 5
4
Lattice="3.652 0.000 0.000 0.000 3.652 0.000 0.000 0.000 7.477" Properties=species:S:1:pos:R:3 comment="AcNiSb2 PBE-GGA optimized geometry" e_above_lowest_polymorph_mev_per_atom=569.6 raw_formation_energy_ev_per_atom=-0.15 pbc="T T T"
Sb 0.000 0.000 6.068
Sb 0.000 0.000 1.409
Ac 1.826 1.826 3.738
Ni 1.826 1.826 0.000

---

# 6
8
Lattice="4.518 0.000 0.000 0.000 4.518 0.000 0.000 0.000 10.406" Properties=species:S:1:pos:R:3 comment="AcNiSb2 PBE-GGA optimized geometry" e_above_lowest_polymorph_mev_per_atom=0.0 raw_formation_energy_ev_per_atom=-0.72 pbc="T T T"
Ac 0.000 2.259 2.521
Ac 2.259 0.000 7.884
Ni 2.259 2.259 0.000
Ni 0.000 0.000 0.000
Sb 2.259 0.000 1.242
Sb 0.000 2.259 9.164
Sb 0.000 0.000 5.203
Sb 2.259 2.259 5.203

---

# 7
10
Lattice="4.474 0.000 0.000 0.000 4.474 0.000 0.000 0.000 10.626" Properties=species:S:1:pos:R:3 comment="Ac2ScNi4Sb3 PBE-GGA optimized geometry" raw_formation_energy_ev_per_atom=-0.67 pbc="T T T"
Ac 2.237 0.000 2.469
Ac 0.000 2.237 8.157
Sc 2.237 2.237 5.313
Ni 2.237 2.237 0.000
Ni 0.000 0.000 0.000
Ni 2.237 0.000 6.725
Ni 0.000 2.237 3.901
Sb 0.000 0.000 5.313
Sb 2.237 0.000 9.310
Sb 0.000 2.237 1.317

---

# 8
6
Lattice="4.427 0.000 0.000 -2.213 3.834 0.000 0.000 0.000 8.474" Properties=species:S:1:pos:R:3 comment="AcSmNi2Sb2 PBE-GGA optimized geometry" raw_formation_energy_ev_per_atom=-0.82 pbc="T T T"
Ac 0.000 0.000 0.000
Sm 0.000 0.000 4.237
Ni 0.000 2.556 6.189
Ni 2.213 1.278 2.285
Sb 0.000 2.556 2.268
Sb 2.213 1.278 6.206

---

# 9
10
Lattice="4.592 0.000 0.000 0.000 4.592 0.000 0.000 0.000 10.283" Properties=species:S:1:pos:R:3 comment="Ac2Ni4Sn3Sb PBE-GGA optimized geometry" raw_formation_energy_ev_per_atom=-0.55 pbc="T T T"
Ac 2.296 0.000 2.464
Ac 0.000 2.296 7.819
Ni 2.296 2.296 0.000
Ni 0.000 0.000 0.000
Ni 2.296 0.000 6.408
Ni 0.000 2.296 3.875
Sn 0.000 0.000 5.142
Sn 2.296 0.000 9.030
Sn 0.000 2.296 1.254
Sb 2.296 2.296 5.142

---

# 10
6
Lattice="-4.779 -0.183 0.187 0.193 -0.137 4.780 -0.238 6.418 0.193" Properties=species:S:1:pos:R:3 comment="AcNi2Sn2Sb PBE-GGA optimized geometry" raw_formation_energy_ev_per_atom=-0.18 pbc="T T T"
Ac -0.119 3.209 0.097
Ni -2.390 -0.091 0.094
Ni 0.096 -0.068 2.390
Sn -2.471 4.627 2.628
Sn -2.354 1.472 2.533
Sb 0.000 0.000 0.000

---

# 11
8
Lattice="-3.214 2.010 -2.513 -2.982 -7.314 -2.037 -3.814 2.519 6.893" Properties=species:S:1:pos:R:3 comment="Ac4NiSbTe2 PBE-GGA optimized geometry" raw_formation_energy_ev_per_atom=-1.05 pbc="T T T"
Ac -3.085 -0.057 -0.216
Ac -6.925 -2.728 2.558
Ac -3.645 0.149 4.781
Ac -3.151 -4.944 0.075
Ni 0.000 0.000 0.000
Sb -3.098 -2.652 -2.275
Te -3.514 2.265 2.190
Te -3.398 -2.398 2.428

---

# 12
4
Lattice="-2.049 -0.804 -4.522 -0.596 -4.699 -1.691 -4.610 -1.978 -0.356" Properties=species:S:1:pos:R:3 comment="AcZnNiSb PBE-GGA optimized geometry" raw_formation_energy_ev_per_atom=-0.27 pbc="T T T"
Sb -1.814 -1.870 -1.642
Ac -5.441 -5.611 -4.927
Zn -3.627 -3.740 -3.284
Ni 0.000 0.000 0.000

---

# 13
10
Lattice="4.659 0.000 0.000 0.000 4.659 0.000 0.000 0.000 10.242" Properties=species:S:1:pos:R:3 comment="Ac2ZnNi3Sb4 PBE-GGA optimized geometry" raw_formation_energy_ev_per_atom=-0.61 pbc="T T T"
Ac 2.330 0.000 2.605
Ac 0.000 2.330 7.636
Zn 2.330 2.330 5.121
Ni 0.000 0.000 5.121
Ni 2.330 0.000 9.059
Ni 0.000 2.330 1.183
Sb 2.330 2.330 0.000
Sb 0.000 0.000 0.000
Sb 2.330 0.000 6.491
Sb 0.000 2.330 3.750

---

# 14
4
Lattice="-0.565 -2.369 -2.424 3.367 -0.676 -0.123 -0.777 -4.743 4.815" Properties=species:S:1:pos:R:3 comment="AcScNi2 PBE-GGA optimized geometry" formation_enthalpy_0k_ev_per_atom=-0.24 e_above_lowest_polymorph_mev_per_atom=0.0 pbc="T T T"
Sc 1.401 -1.523 -1.274
Ni -0.625 -3.819 3.877
Ni -0.151 -0.924 0.938
Ac 1.013 -3.894 1.134

---

# 15
4
Lattice="3.390 0.000 0.000 0.000 4.889 0.000 0.000 0.000 4.889" Properties=species:S:1:pos:R:3 comment="AcScNi2 PBE-GGA optimized geometry" formation_enthalpy_0k_ev_per_atom=-0.16 e_above_lowest_polymorph_mev_per_atom=78.5 pbc="T T T"
Sc 1.695 0.000 0.000
Ni 0.000 0.000 2.445
Ni 0.000 2.445 0.000
Ac 1.695 2.445 2.445

---

# 16
5
Lattice="5.076 0.000 0.000 0.000 5.076 0.000 0.000 0.000 5.076" Properties=species:S:1:pos:R:3 comment="AcSc3Ni PBE-GGA optimized geometry" formation_enthalpy_0k_ev_per_atom=-0.12 pbc="T T T"
Sc 0.000 2.538 0.000
Sc 0.000 0.000 2.538
Sc 2.538 0.000 0.000
Ni 0.000 0.000 0.000
Ac 2.538 2.538 2.538

---

# 17
12
Lattice="4.766 0.000 1.418 2.172 4.242 1.418 0.067 0.041 8.492" Properties=species:S:1:pos:R:3 comment="AcSc2Ni9 PBE-GGA optimized geometry" formation_enthalpy_0k_ev_per_atom=-0.37 pbc="T T T"
Ac 0.000 0.000 0.000
Sc 5.971 3.651 6.084
Sc 1.033 0.632 5.244
Ni 4.695 2.871 10.372
Ni 2.309 1.412 0.956
Ni 3.502 2.141 5.664
Ni 2.873 1.757 3.379
Ni 5.278 1.757 4.095
Ni 3.969 3.898 4.095
Ni 4.131 2.526 7.949
Ni 3.035 0.385 7.233
Ni 1.726 2.526 7.233

---

# 18
12
Lattice="3.987 0.000 0.000 0.000 4.891 0.000 0.000 0.000 8.572" Properties=species:S:1:pos:R:3 comment="AcScNi10 PBE-GGA optimized geometry" formation_enthalpy_0k_ev_per_atom=-0.24 pbc="T T T"
Ac 0.000 0.000 0.000
Sc 0.000 2.446 4.286
Ni 0.000 0.000 2.975
Ni 0.000 2.446 6.951
Ni 0.000 2.446 1.622
Ni 0.000 0.000 5.598
Ni 1.993 0.000 4.286
Ni 1.993 2.446 0.000
Ni 1.993 1.247 2.251
Ni 1.993 3.644 6.321
Ni 1.993 3.644 2.251
Ni 1.993 1.247 6.321

---

# 19
4
Lattice="-1.758 -2.841 3.560 2.752 -3.586 1.845 1.784 0.376 4.529" Properties=species:S:1:pos:R:3 comment="AcScNi2 PBE-GGA optimized geometry" formation_enthalpy_0k_ev_per_atom=-0.14 e_above_lowest_polymorph_mev_per_atom=93.4 pbc="T T T"
Sc 1.389 -3.026 4.967
Ni 0.694 -1.513 2.484
Ni 2.083 -4.538 7.451
Ac 0.000 0.000 0.000

---

# 20
4
Lattice="-2.264 -2.077 -2.040 1.279 -3.029 -1.670 -2.859 -7.663 7.641" Properties=species:S:1:pos:R:3 comment="Ac2ScNi PBE-GGA optimized geometry" formation_enthalpy_0k_ev_per_atom=0.56 pbc="T T T"
Sc -1.922 -6.385 1.965
Ni 0.000 0.000 0.000
Ac -2.253 -6.237 5.517
Ac -1.590 -6.533 -1.586

---

# 21
4
Lattice="3.656 0.000 0.000 1.828 3.166 0.000 1.828 1.055 9.862" Properties=species:S:1:pos:R:3 comment="AcSc2Ni PBE-GGA optimized geometry" formation_enthalpy_0k_ev_per_atom=0.10 e_above_lowest_polymorph_mev_per_atom=204.0 pbc="T T T"
Sc 1.828 1.055 6.333
Sc 5.484 3.166 3.529
Ni 3.656 2.111 4.931
Ac 0.000 0.000 0.000

---

# 22
4
Lattice="-3.257 -0.760 0.479 0.758 -3.291 -0.071 1.218 0.098 8.436" Properties=species:S:1:pos:R:3 comment="AcSc2Ni PBE-GGA optimized geometry" formation_enthalpy_0k_ev_per_atom=-0.11 e_above_lowest_polymorph_mev_per_atom=0.0 pbc="T T T"
Sc 1.008 0.081 6.981
Sc 0.210 0.017 1.454
Ni -1.249 -2.026 0.204
Ac -0.640 -1.977 4.422

---

# 23
18
Lattice="-3.682 1.583 -0.887 -1.706 -5.287 7.148 2.294 9.634 7.672" Properties=species:S:1:pos:R:3 comment="Ac2ScNiSe5 PBE-GGA optimized geometry" raw_formation_energy_ev_per_atom=-1.60 pbc="T T T"
Ac -2.635 5.430 11.135
Ac 0.713 5.610 7.053
Ac -0.050 2.218 4.167
Ac -4.039 -0.650 6.108
Sc -2.937 2.898 7.868
Sc -1.214 -1.406 2.531
Ni -0.156 9.179 7.532
Ni -2.115 0.209 9.154
Se -2.350 -2.858 4.657
Se -1.220 7.441 8.850
Se -0.117 8.079 5.406
Se -0.639 3.709 9.276
Se -4.014 1.512 9.866
Se -1.809 4.316 5.714
Se -1.316 0.832 6.950
Se -2.938 -1.985 8.658
Se -2.814 0.715 3.459
Se -0.152 -0.082 0.484

---

# 24
6
Lattice="4.194 0.000 0.000 -2.097 3.632 0.000 0.000 0.000 7.286" Properties=species:S:1:pos:R:3 comment="AcScSi2Ni2 PBE-GGA optimized geometry" raw_formation_energy_ev_per_atom=-0.77 pbc="T T T"
Ac 0.000 0.000 0.000
Sc 0.000 0.000 3.643
Si 2.097 1.211 5.048
Si 0.000 2.422 2.238
Ni 2.097 1.211 2.408
Ni 0.000 2.422 4.878

---

# 25
10
Lattice="-2.394 -3.366 -1.814 1.950 0.766 -3.996 8.375 -7.395 2.670" Properties=species:S:1:pos:R:3 comment="Ac2ScNi3Sn4 PBE-GGA optimized geometry" formation_enthalpy_0k_ev_per_atom=-0.54 pbc="T T T"
Ac 0.787 -3.436 -0.274
Ac 7.365 -5.259 0.039
Sc 3.965 -4.998 -1.570
Ni 4.187 -3.697 1.335
Ni 6.171 -8.189 1.442
Ni 1.981 -0.506 -1.677
Sn -0.222 -1.300 -2.905
Sn 0.000 0.000 0.000
Sn 4.251 -6.494 0.830
Sn 3.902 -2.201 -1.065